DFT (PBE) results for crystalline Nd3Sm2Er7 at its relaxed geometry.

```
data_Nd3Sm2Er7
_chemical_formula_sum 'Nd3 Sm2 Er7'
_cell_length_a 5.816
_cell_length_b 3.575
_cell_length_c 18.813
_cell_angle_alpha 90.00
_cell_angle_beta 93.18
_cell_angle_gamma 90.00
_symmetry_space_group_name_H-M 'P 1'
_symmetry_Int_Tables_number 1
loop_
_symmetry_equiv_pos_as_xyz
'x,y,z'
loop_
_atom_site_label
_atom_site_fract_x
_atom_site_fract_y
_atom_site_fract_z
Nd1 0.000 0.000 0.000
Nd2 0.276 0.500 0.632
Nd3 0.724 0.500 0.368
Sm1 0.211 0.000 0.292
Sm2 0.789 0.000 0.708
Er1 0.191 0.500 0.142
Er2 0.243 0.000 0.462
Er3 0.307 0.000 0.827
Er4 0.500 0.500 0.000
Er5 0.693 0.000 0.173
Er6 0.757 0.000 0.538
Er7 0.809 0.500 0.858
```

Summary:
space-group type: P2/m
DFT total energy: -4.554 eV/atom
energy above the most stable polymorph in this dataset: 0 meV/atom
energy of formation from the pure elements: 2.0 kcal/mol of atoms